Compound: Ca2MgRhC
Source: the Alexandria database
Functional: PBE-GGA
Structure: optimized geometry

Formation energy (eV per atom): -0.136
Space group: No. 123
Magnetic moment (μB per formula unit): 0.0
Raw total energy (eV/atom): -4.57

Cell lengths 5.197, 5.197, 3.919 Å; angles 90.00, 90.00, 90.00 degrees
Fractional positions:
Ca1 0.000 0.500 0.000
Ca2 0.500 0.000 0.000
Mg1 0.000 0.000 0.500
Rh1 0.500 0.500 0.500
C1 0.500 0.500 0.000